Ce3MgN | GGA-PBE | relaxed

Cell: 4.9295 4.9295 4.9295 Å, 90.00 90.00 90.00°
Last column: nearest neighbours and their distance in Å.
Space group Pm-3m (No. 221)
Asymmetric unit:
Ce  0.0000  0.0000  0.5000 [3 per cell]  2 N 2.46
Mg  0.5000  0.5000  0.5000 [1 per cell]  12 Ce 3.49
N  0.0000  0.0000  0.0000 [1 per cell]  6 Ce 2.46

N(E_F) (states/eV per cell): 10.34
Formation energy (no corrections) (eV/atom): -0.564
Volume (A^3/atom): 24.0



CeMgN | GGA-PBE | relaxed

Cell: 3.1033 3.1033 12.7006 Å, 90.00 90.00 90.00°
Last column: nearest neighbours and their distance in Å.
Space group I4mm (No. 107)
Asymmetric unit:
Ce  0.0000  0.0000  0.0000 [2 per cell]  1 N 2.06
Mg  0.0000  0.0000  0.3040 [2 per cell]  4 N 2.24
N  0.0000  0.0000  0.8380 [2 per cell]  1 Ce 2.06, 4 Mg 2.24

N(E_F) (states/eV per cell): 8.62
Formation energy (no corrections) (eV/atom): -0.207
Volume (A^3/atom): 20.4



Ce2Mg3NpN6 | GGA-PBE | relaxed

Cell: 5.9773 10.4109 5.6016 Å, 90.00 110.52 90.00°
Last column: nearest neighbours and their distance in Å.
Space group C2/m (No. 12)
Asymmetric unit:
Ce  0.0000  0.1677  0.0000 [4 per cell]  6 N 2.41-2.42
Mg  0.0000  0.0000  0.5000 [2 per cell]  6 N 2.37-2.49
Mg  0.0000  0.3411  0.5000 [4 per cell]  6 N 2.33-2.56
Np  0.0000  0.5000  0.0000 [2 per cell]  6 N 2.27-2.29
N  0.2382  0.5000  0.7616 [4 per cell]  1 Np 2.27, 3 Mg 2.33-2.49, 2 Ce 2.41
N  0.2390  0.3422  0.2462 [8 per cell]  1 Np 2.29, 3 Mg 2.34-2.56, 2 Ce 2.42

N(E_F) (states/eV per cell): 21.49
Formation energy (no corrections) (eV/atom): -1.049
Volume (A^3/atom): 13.6



Please write out number 2 again, unchanged.
CeMgN | GGA-PBE | relaxed

Cell: 3.1033 3.1033 12.7006 Å, 90.00 90.00 90.00°
Last column: nearest neighbours and their distance in Å.
Space group I4mm (No. 107)
Asymmetric unit:
Ce  0.0000  0.0000  0.0000 [2 per cell]  1 N 2.06
Mg  0.0000  0.0000  0.3040 [2 per cell]  4 N 2.24
N  0.0000  0.0000  0.8380 [2 per cell]  1 Ce 2.06, 4 Mg 2.24

N(E_F) (states/eV per cell): 8.62
Formation energy (no corrections) (eV/atom): -0.207
Volume (A^3/atom): 20.4